No. 1
This record from the Alexandria database describes crystalline TaAlS2 at its relaxed geometry. The functional is PBE-GGA.

```
12
Lattice="3.295 0.000 0.000 -1.647 2.853 0.000 0.000 0.000 22.995" Properties=species:S:1:pos:R:3 pbc="T T T"
Ta 0.000 0.000 0.000
Ta 0.000 1.902 15.330
Ta 1.647 0.951 7.665
Al 0.000 0.000 11.498
Al 0.000 1.902 3.833
Al 1.647 0.951 19.163
S 0.000 0.000 2.435
S 0.000 0.000 20.561
S 0.000 1.902 12.896
S 0.000 1.902 17.765
S 1.647 0.951 5.231
S 1.647 0.951 10.100
```

Values from the calculation:
V   18.015 Å³ per atom
Space group   R-3m (166)
Crystal system   trigonal

No. 2
This record from the Alexandria database describes crystalline TaAl2S2 at its relaxed geometry. The functional is PBE-GGA.

```
10
Lattice="7.191 0.000 0.000 0.000 7.191 0.000 0.000 0.000 3.308" Properties=species:S:1:pos:R:3 pbc="T T T"
Ta 0.000 0.000 0.000
Ta 3.596 3.596 0.000
Al 0.870 2.726 0.000
Al 2.726 6.321 0.000
Al 4.466 0.870 0.000
Al 6.321 4.466 0.000
S 1.583 5.179 1.654
S 2.012 1.583 1.654
S 5.179 5.608 1.654
S 5.608 2.012 1.654
```

Values from the calculation:
Relative energy among the computed polymorphs   0.0 meV/atom
V   17.106 Å³ per atom
Space group   P4/mbm (127)
Crystal system   tetragonal

No. 3
This record from the Alexandria database describes crystalline TaAl2S2 at its relaxed geometry. The functional is PBE-GGA.

```
10
Lattice="4.709 0.000 0.000 0.000 4.709 0.000 0.000 0.000 7.734" Properties=species:S:1:pos:R:3 pbc="T T T"
Ta 0.000 0.000 0.000
Ta 2.355 2.355 3.867
Al 0.000 0.000 2.684
Al 0.000 0.000 5.050
Al 2.355 2.355 1.183
Al 2.355 2.355 6.551
S 0.000 2.355 1.934
S 0.000 2.355 5.801
S 2.355 0.000 1.934
S 2.355 0.000 5.801
```

Values from the calculation:
Relative energy among the computed polymorphs   133.5 meV/atom
V   17.153 Å³ per atom
Space group   I4/mmm (139)
Crystal system   tetragonal

No. 4
This record from the Alexandria database describes crystalline TaAlTc2S at its relaxed geometry. The functional is PBE-GGA.

```
5
Lattice="4.318 0.000 0.000 0.000 4.318 0.000 0.000 0.000 4.481" Properties=species:S:1:pos:R:3 pbc="T T T"
Ta 0.000 0.000 0.000
Al 2.159 2.159 0.000
Tc 0.000 2.159 2.241
Tc 2.159 0.000 2.241
S 2.159 2.159 2.241
```

Values from the calculation:
V   16.711 Å³ per atom
Space group   P4/mmm (123)
Crystal system   tetragonal

No. 5
This record from the Alexandria database describes crystalline Tb2AlS4 at its relaxed geometry. The functional is PBE-GGA.

```
14
Lattice="13.349 0.000 0.000 0.000 3.823 0.000 -3.403 0.000 6.020" Properties=species:S:1:pos:R:3 pbc="T T T"
Tb 2.227 0.000 1.253
Tb 1.044 1.912 4.767
Tb 8.901 1.912 1.253
Tb 7.719 0.000 4.767
Al -1.702 1.912 3.010
Al 4.973 0.000 3.010
S -1.629 1.912 5.430
S -0.004 0.000 2.922
S 3.275 1.912 3.098
S 4.900 0.000 0.590
S 5.045 0.000 5.430
S 6.670 1.912 2.922
S 9.949 0.000 3.098
S 11.574 1.912 0.590
```

Values from the calculation:
V   21.944 Å³ per atom
Space group   C2/m (12)
Crystal system   monoclinic

No. 6
This record from the Alexandria database describes crystalline Tb3AlS at its relaxed geometry. The functional is PBE-GGA.

```
5
Lattice="5.160 0.000 0.000 0.000 5.160 0.000 0.000 0.000 5.160" Properties=species:S:1:pos:R:3 pbc="T T T"
Tb 0.000 0.000 2.580
Tb 0.000 2.580 0.000
Tb 2.580 0.000 0.000
Al 2.580 2.580 2.580
S 0.000 0.000 0.000
```

Values from the calculation:
V   27.470 Å³ per atom
Space group   Pm-3m (221)
Crystal system   cubic

No. 7
This record from the Alexandria database describes crystalline Tb9Al5S21 at its relaxed geometry. The functional is PBE-GGA.

```
70
Lattice="8.386 4.842 6.124 -8.386 4.842 6.124 0.000 -9.684 6.124" Properties=species:S:1:pos:R:3 pbc="T T T"
Tb -1.284 -6.775 6.124
Tb -6.470 -2.226 9.322
Tb -1.907 -2.617 6.278
Tb -7.079 2.020 9.115
Tb -5.225 4.499 6.124
Tb -3.159 0.424 9.231
Tb 1.790 -7.140 9.115
Tb -1.313 2.959 6.278
Tb -1.871 -2.503 12.205
Tb 1.212 -2.948 9.231
Tb 3.219 -0.343 6.278
Tb 5.163 -4.490 9.322
Tb -1.232 2.872 12.205
Tb 1.947 2.524 9.231
Tb 6.509 2.276 6.124
Tb 1.307 6.716 9.322
Tb 3.103 -0.369 12.205
Tb 5.289 5.120 9.115
Al -2.809 -4.921 8.747
Al 0.000 0.000 4.943
Al -5.601 0.063 11.809
Al 0.000 0.000 8.295
Al -2.857 4.894 8.747
Al 2.746 -4.882 11.809
Al 0.000 0.000 14.112
Al 5.667 0.028 8.747
Al 0.000 0.000 17.453
Al 2.855 4.819 11.809
S -7.530 2.966 6.446
S -4.691 1.820 4.700
S -4.081 -3.316 7.813
S -1.111 -1.673 3.772
S -5.561 0.010 7.923
S 0.770 -4.973 4.700
S 1.196 -8.004 6.446
S -0.893 1.799 3.772
S -0.749 -4.702 7.829
S -1.905 0.166 6.719
S -2.805 -4.831 10.984
S -4.303 -1.536 10.871
S -3.698 2.999 7.829
S 2.005 -0.126 3.772
S 0.808 -1.733 6.719
S -4.779 1.940 10.890
S -1.225 -1.664 9.533
S -4.069 -3.179 13.882
S 2.772 -4.821 7.923
S 0.710 -5.109 10.890
S 1.096 1.566 6.719
S -0.829 1.893 9.533
S -0.832 5.192 7.813
S -2.004 0.163 12.948
S 3.922 3.153 4.700
S -2.781 4.845 10.984
S 2.054 -0.228 9.533
S 4.913 -1.876 7.813
S 0.861 -1.817 12.948
S 3.482 -2.959 10.871
S -1.100 -1.561 15.877
S 4.446 1.703 7.829
S 2.789 4.811 7.923
S 0.821 4.495 10.871
S 1.143 1.654 12.948
S -0.802 1.734 15.877
S -0.719 5.113 13.882
S 6.334 5.038 6.446
S 5.587 -0.014 10.984
S 4.069 3.169 10.890
S 1.902 -0.172 15.877
S 4.787 -1.934 13.882
```

Values from the calculation:
V   21.313 Å³ per atom
Space group   R3 (146)
Crystal system   trigonal

No. 8
This record from the Alexandria database describes crystalline Tb7AlS5 at its relaxed geometry. The functional is PBE-GGA.

```
26
Lattice="6.533 -1.959 0.000 6.533 1.959 0.000 -0.012 0.000 23.526" Properties=species:S:1:pos:R:3 pbc="T T T"
Tb 0.269 0.000 5.883
Tb 1.781 0.000 12.603
Tb 1.775 0.000 22.686
Tb 4.170 0.000 4.110
Tb 4.163 0.000 7.653
Tb 5.323 0.000 14.387
Tb 5.315 0.000 20.898
Tb 7.739 0.000 2.628
Tb 7.731 0.000 9.139
Tb 8.891 0.000 15.873
Tb 8.884 0.000 19.416
Tb 11.279 0.000 0.840
Tb 11.272 0.000 10.923
Tb 12.784 0.000 17.643
Al 3.972 0.000 17.649
Al 9.081 0.000 5.877
S 0.605 0.000 15.058
S 0.599 0.000 20.230
S 2.954 0.000 1.661
S 2.948 0.000 10.101
S 6.533 0.000 0.000
S 6.527 0.000 11.763
S 10.106 0.000 13.425
S 10.100 0.000 21.865
S 12.455 0.000 3.296
S 12.448 0.000 8.468
```

Values from the calculation:
V   23.158 Å³ per atom
Space group   C2/m (12)
Crystal system   monoclinic

No. 9
This record from the Alexandria database describes crystalline Tb6AlS4 at its relaxed geometry. The functional is PBE-GGA.

```
22
Lattice="1.959 -6.574 0.000 1.959 6.574 0.000 0.000 0.000 20.095" Properties=species:S:1:pos:R:3 pbc="T T T"
Tb 0.000 0.000 0.000
Tb 0.000 0.000 10.047
Tb 1.959 4.471 15.071
Tb 1.959 2.996 1.707
Tb 1.959 2.996 8.340
Tb 1.959 0.577 13.275
Tb 1.959 0.577 16.866
Tb 1.959 -0.577 3.228
Tb 1.959 -0.577 6.819
Tb 1.959 -2.996 11.754
Tb 1.959 -2.996 18.387
Tb 1.959 -4.471 5.024
Al 1.959 4.399 5.024
Al 1.959 -4.399 15.071
S 1.959 5.370 12.508
S 1.959 5.370 17.633
S 1.959 1.814 10.841
S 1.959 1.814 19.301
S 1.959 -1.814 0.794
S 1.959 -1.814 9.254
S 1.959 -5.370 2.461
S 1.959 -5.370 7.586
```

Values from the calculation:
V   23.522 Å³ per atom
Space group   Cmcm (63)
Crystal system   orthorhombic

No. 10
This record from the Alexandria database describes crystalline Tb3Al5S12 at its relaxed geometry. The functional is PBE-GGA.

```
80
Lattice="-7.471 7.471 7.471 7.471 -7.471 7.471 7.471 7.471 -7.471" Properties=species:S:1:pos:R:3 pbc="T T T"
Tb 3.735 1.868 0.000
Tb 7.471 3.735 -1.868
Tb 1.868 0.000 3.735
Tb 9.339 0.000 3.735
Tb 0.000 3.735 1.868
Tb 3.735 -1.868 7.471
Tb 3.735 9.339 0.000
Tb 7.471 3.735 5.603
Tb -1.868 7.471 3.735
Tb 5.603 7.471 3.735
Tb 0.000 3.735 9.339
Tb 3.735 5.603 7.471
Al 0.000 0.000 0.000
Al 3.735 3.735 -3.735
Al 3.735 -3.735 3.735
Al 7.471 0.000 0.000
Al 11.206 1.868 0.000
Al 7.471 -3.735 5.603
Al 5.603 7.471 -3.735
Al 5.603 0.000 3.735
Al 3.735 5.603 0.000
Al 7.471 3.735 1.868
Al -3.735 3.735 3.735
Al 0.000 7.471 0.000
Al 0.000 0.000 7.471
Al 3.735 3.735 3.735
Al 0.000 3.735 5.603
Al 3.735 1.868 7.471
Al 1.868 7.471 3.735
Al 1.868 0.000 11.206
Al 0.000 11.206 1.868
Al -3.735 5.603 7.471
S 2.228 -0.421 0.858
S 8.978 4.593 -4.156
S 9.699 0.421 0.858
S 8.978 -2.877 4.156
S 7.050 -0.858 2.228
S 11.627 -1.507 2.877
S 0.858 2.228 -0.421
S 10.348 3.315 -1.507
S 4.593 4.156 -1.507
S 6.613 2.228 0.421
S -0.421 0.858 2.228
S 4.156 -1.507 4.593
S 7.050 6.613 -2.228
S 4.156 1.507 2.877
S 4.593 -4.156 8.978
S 6.613 -2.228 7.050
S 2.877 4.156 1.507
S 8.329 5.243 0.421
S 4.156 8.978 -2.877
S 7.050 0.858 5.243
S 2.228 7.050 -0.858
S 8.978 2.877 3.315
S 1.507 2.877 4.156
S 2.228 0.421 6.613
S 5.243 7.050 0.858
S 5.964 4.593 3.315
S -1.507 4.593 4.156
S 5.243 0.421 8.329
S 0.421 6.613 2.228
S 3.315 -1.507 10.348
S -0.858 2.228 7.050
S 4.593 3.315 5.964
S 0.858 9.699 0.421
S 2.877 11.627 -1.507
S 3.315 5.964 4.593
S 0.421 0.858 9.699
S 3.315 8.978 2.877
S 7.892 6.613 5.243
S 0.858 5.243 7.050
S 2.877 3.315 8.978
S -2.877 4.156 8.978
S 6.613 5.243 7.892
S -4.156 8.978 4.593
S 0.421 8.329 5.243
S -1.507 10.348 3.315
S -2.228 7.050 6.613
S -1.507 2.877 11.627
S 5.243 7.892 6.613
```

Values from the calculation:
V   20.850 Å³ per atom
Space group   Ia-3d (230)
Crystal system   cubic

No. 11
This record from the Alexandria database describes crystalline Tb6Al3S14 at its relaxed geometry. The functional is PBE-GGA.

```
23
Lattice="9.609 0.000 0.000 -4.805 8.322 0.000 0.000 0.000 6.162" Properties=species:S:1:pos:R:3 pbc="T T T"
Tb -1.985 4.048 0.000
Tb 1.915 1.498 3.037
Tb -0.306 8.017 0.000
Tb 2.291 4.579 0.000
Tb 7.354 0.910 3.037
Tb 5.144 5.914 3.037
Al 0.000 0.000 0.414
Al 0.000 5.548 3.531
Al 4.805 2.774 4.155
S 0.000 0.000 4.342
S -0.245 2.030 1.366
S -2.924 7.519 1.366
S -1.854 6.383 4.493
S 0.204 3.525 4.493
S 0.000 5.548 1.289
S 3.016 1.925 5.511
S 4.623 0.785 2.651
S 3.173 3.926 2.651
S 1.650 6.736 4.493
S 3.169 7.095 1.366
S 6.435 1.649 5.511
S 4.964 4.748 5.511
S 6.618 3.611 2.651
```

Values from the calculation:
V   21.425 Å³ per atom
Space group   P3 (143)
Crystal system   trigonal

No. 12
This record from the Alexandria database describes crystalline Tb2TmAlS6 at its relaxed geometry. The functional is PBE-GGA.

```
10
Lattice="3.361 1.940 5.893 -3.361 1.940 5.893 0.000 -3.881 5.893" Properties=species:S:1:pos:R:3 pbc="T T T"
Tb 0.000 0.000 0.000
Tb 0.000 0.000 8.815
Tm 0.000 0.000 5.185
Al 0.000 0.000 14.078
S -1.274 -1.681 6.940
S -2.526 -0.199 9.764
S -0.819 1.943 6.940
S 1.435 -2.089 9.764
S 2.092 -0.263 6.940
S 1.091 2.287 9.764
```

Values from the calculation:
V   23.060 Å³ per atom
Space group   R3 (146)
Crystal system   trigonal

No. 13
This record from the Alexandria database describes crystalline TbTmAl2S6 at its relaxed geometry. The functional is PBE-GGA.

```
10
Lattice="3.206 1.851 6.360 -3.206 1.851 6.360 0.000 -3.703 6.360" Properties=species:S:1:pos:R:3 pbc="T T T"
Tb 0.000 0.000 0.000
Tm 0.000 0.000 9.540
Al 0.000 0.000 6.231
Al 0.000 0.000 12.849
S -1.999 -0.155 7.750
S -0.865 -1.809 11.329
S 1.134 -1.654 7.750
S -1.134 1.654 11.329
S 0.865 1.809 7.750
S 1.999 0.155 11.329
```

Values from the calculation:
V   22.651 Å³ per atom
Space group   R-3 (148)
Crystal system   trigonal

No. 14
This record from the Alexandria database describes crystalline TbTm2AlS6 at its relaxed geometry. The functional is PBE-GGA.

```
10
Lattice="3.337 1.926 5.950 -3.337 1.926 5.950 0.000 -3.853 5.950" Properties=species:S:1:pos:R:3 pbc="T T T"
Tb 0.000 0.000 0.000
Tm 0.000 0.000 5.255
Tm 0.000 0.000 14.254
Al 0.000 0.000 8.817
S -1.915 0.032 7.215
S -1.219 -1.734 10.059
S 0.930 -1.674 7.215
S -0.892 1.923 10.059
S 0.985 1.642 7.215
S 2.111 -0.189 10.059
```

Values from the calculation:
V   22.949 Å³ per atom
Space group   R3 (146)
Crystal system   trigonal

No. 15
This record from the Alexandria database describes crystalline Tb2YAlS6 at its relaxed geometry. The functional is PBE-GGA.

```
10
Lattice="3.375 1.948 5.933 -3.375 1.948 5.933 0.000 -3.897 5.933" Properties=species:S:1:pos:R:3 pbc="T T T"
Tb 0.000 0.000 0.000
Tb 0.000 0.000 8.854
Y 0.000 0.000 3.651
Al 0.000 0.000 12.473
S -1.277 -2.189 7.784
S -1.922 0.111 10.886
S -1.257 2.201 7.784
S 0.865 -1.720 10.886
S 2.534 -0.012 7.784
S 1.057 1.609 10.886
```

Values from the calculation:
V   23.407 Å³ per atom
Space group   R3 (146)
Crystal system   trigonal

No. 16
This record from the Alexandria database describes crystalline Al3TcS at its relaxed geometry. The functional is PBE-GGA.

```
5
Lattice="4.491 0.000 0.000 0.000 4.491 0.000 0.000 0.000 4.491" Properties=species:S:1:pos:R:3 pbc="T T T"
Al 0.000 0.000 2.246
Al 0.000 2.246 0.000
Al 2.246 0.000 0.000
Tc 2.246 2.246 2.246
S 0.000 0.000 0.000
```

Values from the calculation:
Relative energy among the computed polymorphs   242.1 meV/atom
V   18.117 Å³ per atom
Space group   Pm-3m (221)
Crystal system   cubic

In order of appearance, uncorrected formation energy = -389; 160; 293; 547; -1577; -741; -1730; -1623; -1549; -1455; -1680; -1752; -1514; -1749; -1748; 737 meV/atom.